No. 1
{
  "formula": "Si2WSe",
  "functional": "PBE",
  "state": "relaxed",
  "formation_energy_uncorrected_ev_per_atom": 0.444,
  "dos_ef_per_ev_atom": 0.390,
  "energy_ev_per_cell": -25.51,
  "mass_density_g_cm3": 8.73,
  "lattice": [[4.914, -0.001, -0.009], [1.707, 4.608, 0.009], [-2.828, -2.997, 2.677]],
  "species": ["Si", "Si", "Se", "W"],
  "frac_coords": [[0.508, 0.508, 0.000], [0.992, 0.992, 0.000], [0.750, 0.250, 0.500], [0.250, 0.750, 0.500]]
}

No. 2
{
  "formula": "Ca2Zn2Ru",
  "functional": "PBE",
  "state": "relaxed",
  "dos_ef_per_ev_atom": 0.772,
  "energy_ev_per_cell": -14.86,
  "e_form_ev_per_atom": 0.194,
  "mass_density_g_cm3": 4.37,
  "relative_energy_ev_per_atom": 0.335,
  "lattice": [[-4.118, 3.046, 2.486], [-3.826, -3.934, -1.517], [-3.390, -2.221, 3.625]],
  "species": ["Ca", "Ca", "Ru", "Zn", "Zn"],
  "frac_coords": [[0.750, 0.250, 0.500], [0.250, 0.750, 0.500], [0.000, 0.000, 0.000], [0.338, 0.338, 0.324], [0.662, 0.662, 0.676]]
}

No. 3
{
  "formula": "Ca2Sb3Pd4",
  "functional": "PBE",
  "state": "relaxed",
  "formation_energy_uncorrected_ev_per_atom": -0.734,
  "dos_ef_per_ev_atom": 0.284,
  "energy_ev_per_cell": -87.50,
  "mass_density_g_cm3": 7.51,
  "lattice": [[6.283, 0.000, 0.000], [0.000, 7.493, 0.000], [-3.142, 0.000, 8.177]],
  "species": ["Pd", "Pd", "Pd", "Pd", "Pd", "Pd", "Pd", "Pd", "Ca", "Ca", "Ca", "Ca", "Sb", "Sb", "Sb", "Sb", "Sb", "Sb"],
  "frac_coords": [[0.821, 0.250, 0.142], [0.332, 0.488, 0.663], [0.179, 0.750, 0.858], [0.832, 0.012, 0.663], [0.679, 0.750, 0.858], [0.321, 0.250, 0.142], [0.668, 0.512, 0.337], [0.168, 0.988, 0.337], [0.100, 0.594, 0.200], [0.400, 0.094, 0.800], [0.600, 0.906, 0.200], [0.900, 0.406, 0.800], [0.500, 0.500, 0.000], [0.491, 0.250, 0.482], [0.009, 0.750, 0.518], [0.509, 0.750, 0.518], [0.991, 0.250, 0.482], [0.000, 0.000, 0.000]]
}

No. 4
{
  "formula": "TlAgPb",
  "functional": "PBE",
  "state": "relaxed",
  "dos_ef_per_ev_atom": 0.391,
  "energy_ev_per_cell": -17.35,
  "e_form_ev_per_atom": 0.084,
  "mass_density_g_cm3": 10.75,
  "lattice": [[-2.469, 2.362, -0.040], [-0.458, -0.311, 8.354], [2.671, 5.290, -0.796]],
  "species": ["Tl", "Tl", "Ag", "Ag", "Pb", "Pb"],
  "frac_coords": [[0.188, 0.688, 0.259], [0.157, 0.111, 0.333], [0.573, 0.425, 0.495], [0.920, 0.657, 0.797], [0.439, 0.955, 0.759], [0.854, 0.323, 0.935]]
}

No. 5
{
  "formula": "K4DyHo3Se8",
  "functional": "PBE",
  "state": "relaxed",
  "formation_energy_uncorrected_ev_per_atom": -1.762,
  "dos_ef_per_ev_atom": 0.000,
  "energy_ev_per_cell": -78.80,
  "mass_density_g_cm3": 5.11,
  "lattice": [[8.400, 0.000, 0.000], [0.000, 9.072, 0.465], [-4.200, -4.197, 5.943]],
  "species": ["Se", "Se", "Se", "Se", "Se", "Se", "Se", "Se", "Ho", "Ho", "Ho", "K", "K", "K", "K", "Dy"],
  "frac_coords": [[0.765, 0.295, 0.031], [0.265, 0.296, 0.530], [0.735, 0.704, 0.470], [0.734, 0.705, 0.969], [0.266, 0.295, 0.031], [0.235, 0.705, 0.969], [0.765, 0.295, 0.529], [0.235, 0.705, 0.471], [0.000, 0.500, 0.500], [0.500, 0.500, 0.500], [0.500, 0.500, 0.000], [0.000, 0.000, 0.000], [0.500, 0.000, 0.500], [0.500, 0.000, 0.000], [0.000, 0.000, 0.500], [0.000, 0.500, 0.000]]
}

No. 6
{
  "formula": "La2DyPu",
  "functional": "PBE",
  "state": "relaxed",
  "dos_ef_per_ev_atom": 2.340,
  "energy_ev_per_cell": -28.34,
  "e_form_ev_per_atom": 0.112,
  "mass_density_g_cm3": 8.59,
  "relative_energy_ev_per_atom": 0.000,
  "lattice": [[-1.771, 2.362, 2.067], [-1.770, -2.711, 1.581], [7.323, -0.673, 7.045]],
  "species": ["Dy", "La", "La", "Pu"],
  "frac_coords": [[0.500, 0.500, 0.500], [0.000, 0.000, 0.756], [0.000, 0.000, 0.244], [0.500, 0.500, 0.000]]
}